[1]
NaTiBiO4: relaxed, PBE.

The space group is Cmcm (No. 63) and the conventional cell measures 6.255, 9.664 and 7.375 Å, with angles of 90.00, 90.00 and 90.00 degrees. The asymmetric unit holds Na at (0.000, 0.000, 0.000), Ti at (0.000, 0.362, 0.250), Bi at (0.000, 0.328, 0.750), O at (0.000, 0.256, 0.049) and O at (0.222, 0.493, 0.250).

The value obtained for the total DFT energy (no corrections) is -6.76 eV per atom. As for the size of the total moment: 0.000 μB per atom. The value obtained for the density of states at the Fermi level is 0.00 states/eV/atom. For the volume, the calculation gives 15.92 A^3/atom.



[2]
Na2TiBiO6: relaxed, PBE.

The space group is P2_1/c (No. 14) and the conventional cell measures 5.592, 5.673 and 9.707 Å, with angles of 90.00, 124.94 and 90.00 degrees. The asymmetric unit holds Na at (0.242, 0.033, 0.250), Ti at (0.000, 0.000, 0.500), Bi at (0.500, 0.000, 0.000), O at (0.150, 0.217, 0.955), O at (0.242, 0.696, 0.958) and O at (0.324, 0.024, 0.739).

The value obtained for the total DFT energy (no corrections) is -6.03 eV per atom. As for the size of the total moment: 0.107 μB per atom. The value obtained for the density of states at the Fermi level is 0.85 states/eV/atom. For the volume, the calculation gives 12.62 A^3/atom.



[3]
Na2TiBi2O6: relaxed, PBE.

The space group is C2/m (No. 12) and the conventional cell measures 6.010, 9.981 and 5.927 Å, with angles of 90.00, 105.61 and 90.00 degrees. The asymmetric unit holds Na at (0.000, 0.150, 0.000), Ti at (0.000, 0.000, 0.500), Bi at (0.000, 0.335, 0.500), O at (0.195, 0.153, 0.695) and O at (0.207, 0.000, 0.297).

The value obtained for the total DFT energy (no corrections) is -6.14 eV per atom. As for the size of the total moment: 0.000 μB per atom. The value obtained for the density of states at the Fermi level is 0.00 states/eV/atom. For the volume, the calculation gives 15.57 A^3/atom.



[4]
NaTiBi2O6: relaxed, PBE.

The space group is R3 (No. 146, hexagonal axes) and the conventional cell measures 5.7064, 5.7064 and 15.1296 Å, with angles of 90.00, 90.00 and 120.00 degrees. The asymmetric unit holds Na at (0.0000, 0.0000, 0.0000), Ti at (0.0000, 0.0000, 0.4903), Bi at (0.0000, 0.0000, 0.2800), Bi at (0.0000, 0.0000, 0.7825), O at (0.0087, 0.7361, 0.3919) and O at (0.0100, 0.4083, 0.2143).

The value obtained for the total DFT energy (no corrections) is -6.44 eV per atom. As for the size of the total moment: 0.075 μB per atom. The value obtained for the density of states at the Fermi level is 0.41 states/eV/atom. For the volume, the calculation gives 14.22 A^3/atom.



[5]
NaTi2Bi2O7: relaxed, PBE.

The space group is Imm2 (No. 44) and the conventional cell measures 3.339, 19.066 and 5.544 Å, with angles of 90.00, 90.00 and 90.00 degrees. The asymmetric unit holds Na at (0.000, 0.000, 0.000), Ti at (0.000, 0.407, 0.030), Bi at (0.000, 0.306, 0.549), O at (0.000, 0.116, 0.670), O at (0.000, 0.286, 0.934), O at (0.000, 0.419, 0.708) and O at (0.000, 0.500, 0.140).

The value obtained for the total DFT energy (no corrections) is -7.01 eV per atom. As for the size of the total moment: 0.000 μB per atom. The value obtained for the density of states at the Fermi level is 0.13 states/eV/atom. For the volume, the calculation gives 14.71 A^3/atom.



[6]
Na2TlBiO4: relaxed, PBE.

The space group is P2/m (No. 10) and the conventional cell measures 6.001, 3.480 and 6.037 Å, with angles of 90.00, 109.56 and 90.00 degrees. The asymmetric unit holds Na at (0.000, 0.000, 0.000), Na at (0.000, 0.500, 0.500), Tl at (0.500, 0.000, 0.500), Bi at (0.500, 0.500, 0.000), O at (0.271, 0.000, 0.749) and O at (0.275, 0.500, 0.263).

The value obtained for the total DFT energy (no corrections) is -4.78 eV per atom. As for the size of the total moment: 0.000 μB per atom. For the volume, the calculation gives 14.85 A^3/atom.



[7]
Na2Tm2BiO6: relaxed, PBE.

The space group is C2/m (No. 12) and the conventional cell measures 5.882, 10.237 and 5.973 Å, with angles of 90.00, 108.29 and 90.00 degrees. The asymmetric unit holds Na at (0.000, 0.168, 0.000), Tm at (0.000, 0.335, 0.500), Bi at (0.000, 0.000, 0.500), O at (0.228, 0.174, 0.701) and O at (0.238, 0.500, 0.704).

The value obtained for the total DFT energy (no corrections) is -6.42 eV per atom. As for the size of the total moment: 0.077 μB per atom. The value obtained for the density of states at the Fermi level is 0.33 states/eV/atom. For the volume, the calculation gives 15.52 A^3/atom.



[8]
NaTmBi2O8: relaxed, PBE.

The space group is P-3 (No. 147) and the conventional cell measures 5.9792, 5.9792 and 6.9689 Å, with angles of 90.00, 90.00 and 120.00 degrees. The asymmetric unit holds Na at (0.0000, 0.0000, 0.0000), Tm at (0.0000, 0.0000, 0.5000), Bi at (0.3333, 0.6667, 0.4484), O at (0.0475, 0.3595, 0.6360) and O at (0.3333, 0.6667, 0.1448).

The value obtained for the total DFT energy (no corrections) is -5.41 eV per atom. As for the size of the total moment: 0.167 μB per atom. The value obtained for the density of states at the Fermi level is 0.93 states/eV/atom. For the volume, the calculation gives 17.98 A^3/atom.